Record 1
# MgGa5Ag2

A relaxed MgGa5Ag2 crystal (PBE, Alexandria via LeMat-Bulk).

Summary:
formation enthalpy at 0 K = -0.022 eV per atom
symmetry = Pbam
volume = 295.2 Å³/cell
N(E_F) = 2.32 states/eV/f.u.

abc: 4.2976 5.6879 12.0782
angles: 90.00 90.00 90.00
Fractional coordinates of all 16 atoms:
1 Mg 0.0000 0.0000 0.5000
2 Mg 0.0000 0.5000 0.0000
3 Ga 0.0000 0.0000 0.0000
4 Ga 0.0000 0.5000 0.5000
5 Ga 0.0000 0.5065 0.7507
6 Ga 0.0000 0.4935 0.2493
7 Ga 0.0000 0.9935 0.2507
8 Ga 0.0000 0.0065 0.7493
9 Ga 0.5000 0.2335 0.8756
10 Ga 0.5000 0.7665 0.1244
11 Ga 0.5000 0.2665 0.3756
12 Ga 0.5000 0.7335 0.6244
13 Ag 0.5000 0.2345 0.6228
14 Ag 0.5000 0.7655 0.3772
15 Ag 0.5000 0.2655 0.1228
16 Ag 0.5000 0.7345 0.8772

---

Record 2
# LiReRu2

A relaxed LiReRu2 crystal (PBE, Alexandria via LeMat-Bulk).

Summary:
formation enthalpy at 0 K = 0.194 eV per atom
symmetry = C2/m
volume = 54.9 Å³/cell
N(E_F) = 2.25 states/eV/f.u.

abc: 4.3912 4.3912 4.8897
angles: 85.83 85.83 35.73
Fractional coordinates of all 4 atoms:
1 Li 0.7500 0.7500 0.7500
2 Re 0.2500 0.2500 0.2500
3 Ru 0.9981 0.9981 0.9871
4 Ru 0.5019 0.5019 0.5129